The following is a DFT calculation (GGA-PBE) of a geometry-optimized Tb3Ga12Cu structure.

Calculated values
Calculated formation energy in eV/atom: -0.39
Space-group type: P4/mmm, No. 123
E_tot in eV per atom: -3.784

a b c (Å): 4.2693 4.2693 16.5784
angles (deg): 90.00 90.00 90.00
Last column: nearest neighbours and their distance in Å.
Sites, in units of the cell vectors:
Ga 0.0000 0.5000 0.6309  8 Ga 2.93-3.04, 4 Tb 3.04-3.05
Ga 0.5000 0.0000 0.1047  2 Cu 2.75, 6 Ga 2.75-3.02, 2 Tb 3.07
Ga 0.5000 0.5000 0.2480  8 Ga 2.93-3.19, 4 Tb 3.02
Ga 0.5000 0.0000 0.6309  8 Ga 2.93-3.04, 4 Tb 3.04-3.05
Ga 0.0000 0.5000 0.8953  2 Cu 2.75, 6 Ga 2.75-3.02, 2 Tb 3.07
Ga 0.5000 0.5000 0.7520  8 Ga 2.93-3.19, 4 Tb 3.02
Ga 0.5000 0.5000 0.5000  4 Tb 3.02, 8 Ga 3.04
Ga 0.5000 0.5000 0.0000  8 Ga 2.75, 4 Cu 3.02
Ga 0.0000 0.5000 0.1047  2 Cu 2.75, 6 Ga 2.75-3.02, 2 Tb 3.07
Tb 0.0000 0.0000 0.5000  12 Ga 3.02-3.04
Ga 0.0000 0.5000 0.3691  8 Ga 2.93-3.04, 4 Tb 3.04-3.05
Ga 0.5000 0.0000 0.8953  2 Cu 2.75, 6 Ga 2.75-3.02, 2 Tb 3.07
Ga 0.5000 0.0000 0.3691  8 Ga 2.93-3.04, 4 Tb 3.04-3.05
Tb 0.0000 0.0000 0.2374  12 Ga 3.02-3.07
Cu 0.0000 0.0000 0.0000  12 Ga 2.75-3.02
Tb 0.0000 0.0000 0.7626  12 Ga 3.02-3.07